# 1
Density functional theory data (PBE) for crystalline PrErTlNi2 at its relaxed geometry.

Output
Total moment (Bohr magnetons per cell): 0.0
Final energy (eV per cell): -24.97

extended XYZ file:
```
5
Lattice="3.734 0.000 0.000 0.000 1.975 7.279 0.000 -1.975 7.279" Properties=species:S:1:pos:R:3 pbc="T T T"
Er 0.000 0.000 9.325
Pr 0.000 0.000 5.282
Ni 1.867 0.000 11.549
Tl 1.867 0.000 0.086
Ni 1.867 0.000 2.873
```

---

# 2
Density functional theory data (PBE) for crystalline Er2NiPt at its relaxed geometry.

Output
Energy of formation (eV/atom): -0.89
Total moment (Bohr magnetons per cell): 0.0

extended XYZ file:
```
8
Lattice="5.459 0.000 0.000 0.000 4.379 0.000 -0.138 0.000 6.860" Properties=species:S:1:pos:R:3 pbc="T T T"
Pt 4.582 3.284 0.309
Pt 0.738 1.095 6.552
Er 4.657 1.095 2.223
Er 0.664 3.284 4.638
Ni 3.352 3.284 3.669
Er 1.963 3.284 1.286
Er 3.358 1.095 5.575
Ni 1.969 1.095 3.192
```

---

# 3
Density functional theory data (PBE) for crystalline Er2NiPt at its relaxed geometry.

Output
Energy of formation (eV/atom): -0.91
Total moment (Bohr magnetons per cell): 0.0

extended XYZ file:
```
8
Lattice="4.339 0.000 0.000 0.000 5.445 0.000 0.000 0.000 7.007" Properties=species:S:1:pos:R:3 pbc="T T T"
Er 0.000 3.361 2.245
Er 2.169 4.831 4.775
Pt 2.169 2.115 3.777
Ni 0.000 0.583 3.216
Er 2.169 0.614 1.272
Er 0.000 2.084 5.749
Ni 0.000 4.863 6.720
Pt 2.169 3.330 0.274
```

---

# 4
Density functional theory data (PBE) for crystalline ErNi2Pt2 at its relaxed geometry.

Output
Energy of formation (eV/atom): -0.50
Total moment (Bohr magnetons per cell): 1.1

extended XYZ file:
```
5
Lattice="3.211 5.797 0.022 -1.974 6.294 0.632 -0.329 -6.216 2.273" Properties=species:S:1:pos:R:3 pbc="T T T"
Ni -0.842 3.062 1.616
Pt 0.751 7.344 0.398
Er 0.000 0.000 0.000
Ni 1.750 2.813 1.312
Pt 0.485 4.746 0.257
```

---

# 5
Density functional theory data (PBE) for crystalline Er2Si4NiPt at its relaxed geometry.

Output
Total moment (Bohr magnetons per cell): 0.0
Final energy (eV per cell): -49.49

extended XYZ file:
```
8
Lattice="-0.804 0.665 3.900 1.298 -8.405 1.700 4.916 -6.806 2.174" Properties=species:S:1:pos:R:3 pbc="T T T"
Er 5.202 -13.385 5.443
Si 4.612 -11.289 2.875
Er 0.648 -1.586 0.404
Ni 3.787 -9.922 4.561
Pt 2.027 -4.961 1.263
Si 2.956 -7.888 4.043
Si 1.116 -3.383 2.896
Si 2.902 -7.102 1.809
```

---

# 6
Density functional theory data (PBE) for crystalline Er3Ni2Sn3Pt at its relaxed geometry.

Output
Total moment (Bohr magnetons per cell): 0.0
Final energy (eV per cell): -49.97

extended XYZ file:
```
9
Lattice="7.277 0.000 0.000 -3.638 6.302 0.000 0.000 0.000 4.014" Properties=species:S:1:pos:R:3 pbc="T T T"
Sn -2.665 4.616 2.007
Pt 0.000 0.000 0.000
Er -1.487 2.576 0.000
Er 2.151 3.726 0.000
Ni 0.000 4.201 2.007
Sn 5.331 0.000 2.007
Sn 0.973 1.685 2.007
Ni 3.638 2.101 2.007
Er 2.974 0.000 0.000
```

---

# 7
Density functional theory data (PBE) for crystalline Er2TmNiSn3Pt2 at its relaxed geometry.

Output
Total moment (Bohr magnetons per cell): 0.0
Final energy (eV per cell): -52.16

extended XYZ file:
```
9
Lattice="-0.691 -1.999 -3.252 -7.106 -0.973 2.109 1.898 5.973 -4.076" Properties=species:S:1:pos:R:3 pbc="T T T"
Pt -4.445 0.345 -1.581
Ni -0.002 0.002 -0.001
Tm -2.108 2.023 -0.796
Er -4.229 -0.579 1.255
Er 1.129 3.555 -2.426
Sn -4.253 2.752 -3.102
Pt -1.452 2.653 -3.637
Sn -2.120 -1.241 -1.100
Sn 0.126 0.492 -2.643
```

---

# 8
Density functional theory data (PBE) for crystalline Y2ErNiSn3Pt2 at its relaxed geometry.

Output
Total moment (Bohr magnetons per cell): 0.0
Final energy (eV per cell): -56.05

extended XYZ file:
```
9
Lattice="3.914 0.000 0.000 0.000 6.488 3.760 0.000 -6.488 3.760" Properties=species:S:1:pos:R:3 pbc="T T T"
Er 0.000 0.000 4.477
Y 0.000 -2.626 1.522
Sn 1.957 1.615 6.581
Ni 0.000 0.000 7.506
Y 0.000 2.626 1.522
Pt 1.957 2.139 3.769
Sn 1.957 0.000 1.871
Sn 1.957 -1.615 6.581
Pt 1.957 -2.139 3.769
```

---

# 9
Density functional theory data (PBE) for crystalline ErPuNi at its relaxed geometry.

Output
Energy of formation (eV/atom): -0.03
Total moment (Bohr magnetons per cell): 6.1

extended XYZ file:
```
3
Lattice="-1.327 -4.407 -0.774 -4.115 -1.514 1.601 -3.476 -0.902 -2.982" Properties=species:S:1:pos:R:3 pbc="T T T"
Er 0.000 0.000 0.000
Pu -4.459 -3.411 -1.077
Ni -2.229 -1.706 -0.539
```

---

# 10
Density functional theory data (PBE) for crystalline RbErNiSe3 at its relaxed geometry.

Output
Total moment (Bohr magnetons per cell): 0.1
Final energy (eV per cell): -112.82

extended XYZ file:
```
24
Lattice="-8.281 -6.677 3.324 -1.213 -0.535 -4.096 7.680 -10.006 -0.968" Properties=species:S:1:pos:R:3 pbc="T T T"
Se -6.329 -8.259 2.952
Ni -1.476 -12.556 -0.186
Ni 3.197 -9.911 -1.915
Se -1.340 -6.025 1.184
Er 5.007 -6.684 -0.610
Se 2.493 -5.206 -0.059
Se 3.162 -9.000 0.239
Ni -4.405 -7.040 2.224
Rb -1.624 -9.459 1.716
Se 0.133 -10.926 -0.875
Ni 0.268 -4.395 0.494
Rb 6.309 -11.061 -0.424
Se -3.701 -11.745 0.367
Se -0.410 -13.078 1.829
Er -3.427 -5.165 -0.573
Rb 0.417 -7.492 -1.408
Se 5.121 -8.692 -2.644
Er 2.220 -11.786 0.882
Er -6.215 -10.266 0.918
Se -0.797 -3.872 -1.521
Se -4.370 -7.951 0.070
Se 3.442 -12.318 -1.674
Rb -7.516 -5.889 0.732
Se -4.650 -4.633 1.982
```

---

# 11
Density functional theory data (PBE) for crystalline RbErNiSe3 at its relaxed geometry.

Output
Total moment (Bohr magnetons per cell): 2.5
Final energy (eV per cell): -57.43

extended XYZ file:
```
12
Lattice="9.362 0.000 0.000 0.000 4.050 0.000 -3.361 0.000 9.138" Properties=species:S:1:pos:R:3 pbc="T T T"
Se 7.797 3.038 1.319
Rb 4.863 3.038 6.930
Er 5.825 1.013 1.264
Rb 1.137 1.013 2.208
Se 2.158 1.013 7.613
Er 0.175 3.038 7.874
Se -0.117 3.038 4.960
Se 3.843 3.038 1.525
Se 6.118 1.013 4.178
Se -1.796 1.013 7.819
Ni 7.286 3.038 3.676
Ni -1.285 1.013 5.461
```

---

# 12
Density functional theory data (PBE) for crystalline RbErNiTe3 at its relaxed geometry.

Output
Total moment (Bohr magnetons per cell): 0.0
Final energy (eV per cell): -101.81

extended XYZ file:
```
24
Lattice="-5.505 5.493 9.469 -3.251 -3.092 -0.097 7.104 -7.741 8.621" Properties=species:S:1:pos:R:3 pbc="T T T"
Ni -2.968 1.185 9.847
Ni -0.866 -0.854 4.324
Ni -0.787 -4.486 13.670
Ni 1.316 -6.525 8.147
Te -2.599 0.982 3.924
Te 3.586 -5.676 8.801
Er -5.475 0.488 12.271
Rb -2.508 -2.575 10.446
Te -1.967 -2.976 5.088
Er 3.823 -5.828 5.723
Te -2.396 0.508 12.245
Te 0.744 -5.848 5.749
Te -1.784 0.001 7.896
Er -4.025 -0.840 5.956
Er 2.372 -4.501 12.038
Te 0.260 -1.974 2.302
Te -5.239 0.336 9.192
Te 0.132 -5.341 10.098
Te -1.912 -3.366 15.692
Te 0.947 -6.322 14.070
Rb -3.293 -1.467 1.418
Rb 0.855 -2.765 7.547
Rb 1.641 -3.874 16.575
Te 0.314 -2.364 12.906
```

---

# 13
Density functional theory data (PBE) for crystalline RbErNiTe3 at its relaxed geometry.

Output
Total moment (Bohr magnetons per cell): 5.2
Final energy (eV per cell): -103.07

extended XYZ file:
```
24
Lattice="-2.595 10.962 0.767 -1.622 -0.110 -3.922 -14.731 -3.921 6.201" Properties=species:S:1:pos:R:3 pbc="T T T"
Ni -4.333 1.936 0.589
Te -16.486 6.605 3.186
Te -7.413 4.835 1.781
Er -4.899 -0.981 -1.393
Te -12.989 -0.541 4.238
Ni -6.481 7.191 1.330
Rb -10.640 6.252 0.779
Rb -8.307 0.679 2.267
Rb -2.418 8.073 -0.375
Ni -14.615 4.995 2.457
Er -6.233 4.490 -0.994
Ni -12.467 -0.260 1.716
Er -14.049 7.912 4.439
Te -10.612 -1.883 0.995
Te -11.535 2.096 1.265
Te -15.526 2.635 2.900
Te -8.335 8.814 2.051
Rb -16.530 -1.142 3.421
Te -3.422 4.296 0.146
Er -12.715 2.441 4.041
Te -6.469 1.509 -0.814
Te -5.958 7.472 -1.191
Te -2.462 0.326 -0.140
Te -12.479 5.422 3.860
```

---

# 14
Density functional theory data (PBE) for crystalline RbErNiTe3 at its relaxed geometry.

Output
Total moment (Bohr magnetons per cell): 0.7
Final energy (eV per cell): -49.85

extended XYZ file:
```
12
Lattice="-5.593 6.950 -0.041 -6.485 4.785 3.826 7.212 4.834 4.370" Properties=species:S:1:pos:R:3 pbc="T T T"
Rb -3.678 14.372 7.198
Te 0.449 7.032 4.041
Ni -3.510 7.674 3.487
Rb -1.187 2.196 0.956
Te -1.878 11.151 5.810
Te -2.988 5.417 2.344
Ni -1.355 8.894 4.667
Te -5.315 9.536 4.113
Te 3.606 2.417 2.185
Er -7.128 11.788 4.956
Er 2.263 4.780 3.198
Te -6.039 5.867 1.892
```

---

# 15
Density functional theory data (PBE) for crystalline RbErNiTe3 at its relaxed geometry.

Output
Total moment (Bohr magnetons per cell): 0.0
Final energy (eV per cell): -101.77

extended XYZ file:
```
24
Lattice="11.979 0.000 0.000 0.000 4.516 0.000 0.000 0.000 13.637" Properties=species:S:1:pos:R:3 pbc="T T T"
Er 0.016 2.258 4.607
Ni 3.286 2.258 10.775
Rb 4.081 2.258 6.765
Te 7.392 0.000 0.652
Te 4.587 2.258 12.985
Ni 2.704 0.000 3.956
Er 11.963 0.000 9.030
Te 2.643 2.258 2.844
Te 11.279 0.000 2.661
Te 0.700 2.258 10.976
Er 5.974 0.000 11.426
Rb 1.908 0.000 13.583
Ni 9.276 2.258 9.681
Te 9.336 0.000 10.793
Ni 8.693 0.000 2.862
Rb 7.898 0.000 6.872
Te 10.577 2.258 7.471
Te 5.289 0.000 4.157
Te 6.690 2.258 9.479
Te 1.403 0.000 6.166
Te 3.347 0.000 9.663
Te 8.632 2.258 3.974
Rb 10.071 2.258 0.054
Er 6.005 2.258 2.211
```

---

# 16
Density functional theory data (PBE) for crystalline RbErNiTe3 at its relaxed geometry.

Output
Total moment (Bohr magnetons per cell): 2.8
Final energy (eV per cell): -101.39

extended XYZ file:
```
24
Lattice="-6.182 7.502 4.675 -3.066 -0.627 -3.048 -6.782 -11.287 9.145" Properties=species:S:1:pos:R:3 pbc="T T T"
Te -10.877 2.459 5.739
Te -8.332 -0.551 6.929
Er -4.717 -4.031 4.009
Te -11.742 -3.179 7.769
Te -10.052 -6.127 9.807
Rb -3.671 -2.061 -0.579
Te -4.289 -1.233 3.002
Te -1.978 1.129 0.192
Rb -7.891 -0.189 3.280
Rb -12.359 -2.351 11.351
Ni -8.544 1.987 6.620
Te -8.978 -7.475 5.873
Te -7.053 3.063 4.898
Ni -3.774 1.029 2.019
Te -5.154 -6.871 5.033
Er -11.314 -0.381 6.763
Te -5.979 1.715 0.965
Ni -12.256 -5.441 8.752
Te -14.053 -5.541 10.580
Er -5.175 4.102 2.796
Ni -7.486 -6.399 4.151
Te -7.699 -3.861 3.843
Rb -8.139 -4.223 7.491
Er -10.856 -8.514 7.976
```

---

# 17
Density functional theory data (PBE) for crystalline RbErNiTe3 at its relaxed geometry.

Output
Total moment (Bohr magnetons per cell): 2.0
Final energy (eV per cell): -51.55

extended XYZ file:
```
12
Lattice="-0.024 0.159 -8.691 -2.763 -2.879 -7.723 -8.236 7.474 0.160" Properties=species:S:1:pos:R:3 pbc="T T T"
Rb -4.131 -0.154 -12.163
Rb -6.892 4.908 -4.091
Te -8.783 3.062 -15.230
Ni -3.381 0.578 -7.747
Te -2.240 1.692 -1.023
Te -1.642 -0.496 -6.199
Er 0.000 0.000 0.000
Er -4.118 3.737 0.080
Ni -7.642 4.176 -8.506
Te -9.381 5.250 -10.054
Te -4.585 2.175 -6.142
Te -6.438 2.579 -10.112
```

---

# 18
Density functional theory data (PBE) for crystalline ErReNi at its relaxed geometry.

Output
Energy of formation (eV/atom): 1.37
Total moment (Bohr magnetons per cell): 2.6

extended XYZ file:
```
3
Lattice="0.074 -3.536 2.706 1.721 0.363 4.091 -2.672 -0.136 3.560" Properties=species:S:1:pos:R:3 pbc="T T T"
Ni -0.219 -0.827 2.589
Er 0.000 0.000 0.000
Re -0.657 -2.482 7.767
```

---

# 19
Density functional theory data (PBE) for crystalline ErReNi at its relaxed geometry.

Output
Energy of formation (eV/atom): 0.51
Total moment (Bohr magnetons per cell): 1.6

extended XYZ file:
```
3
Lattice="0.000 3.047 3.047 3.047 0.000 3.047 3.047 3.047 0.000" Properties=species:S:1:pos:R:3 pbc="T T T"
Er 1.523 1.523 1.523
Re 4.570 4.570 4.570
Ni 0.000 0.000 0.000
```

---

# 20
Density functional theory data (PBE) for crystalline ErTlNiS3 at its relaxed geometry.

Output
Total moment (Bohr magnetons per cell): 2.4
Final energy (eV per cell): -62.28

extended XYZ file:
```
12
Lattice="-6.337 -2.136 -5.742 0.682 -3.752 0.643 -3.722 0.748 8.308" Properties=species:S:1:pos:R:3 pbc="T T T"
Ni -2.557 -0.666 4.637
S -3.031 -3.683 -0.830
S -5.650 -4.598 -3.394
S -6.767 -2.345 -0.693
S -6.345 -1.457 4.040
Tl -7.423 -3.926 2.406
Ni -6.820 -4.473 -1.426
Er -4.746 -2.873 5.711
S -3.726 -0.541 6.605
Tl -1.953 -1.214 0.804
S -2.610 -2.795 3.903
Er -4.630 -2.267 -2.501
```